# 1
# TaCdIr2 | Alexandria | GGA-PBE | relaxed
data_TaCdIr2
_cell_length_a 4.218
_cell_length_b 4.218
_cell_length_c 3.705
_cell_angle_alpha 90.00
_cell_angle_beta 90.00
_cell_angle_gamma 90.00
_space_group_name_H-M_alt 'P 4/m m m'
_space_group_IT_number 123
_space_group_name_Hall '-P 4 2'
loop_
_atom_site_label
_atom_site_fract_x
_atom_site_fract_y
_atom_site_fract_z
Ta1 0.000 0.000 0.000
Cd1 0.500 0.500 0.000
Ir1 0.000 0.500 0.500
# Total energy in eV per atom: -7.75
# Crystal system: tetragonal



# 2
# TaCd2Ir | Alexandria | GGA-PBE | relaxed
data_TaCd2Ir
_cell_length_a 2.891
_cell_length_b 2.891
_cell_length_c 8.673
_cell_angle_alpha 90.00
_cell_angle_beta 90.00
_cell_angle_gamma 90.00
_space_group_name_H-M_alt 'P 4/m m m'
_space_group_IT_number 123
_space_group_name_Hall '-P 4 2'
loop_
_atom_site_label
_atom_site_fract_x
_atom_site_fract_y
_atom_site_fract_z
Ta1 0.000 0.000 0.000
Cd1 0.500 0.500 0.267
Ir1 0.000 0.000 0.500
# Relative energy among the computed polymorphs in eV per atom: 0.4381
# Crystal system: tetragonal



# 3
# Ta2CdIr2 | Alexandria | GGA-PBE | relaxed
data_Ta2CdIr2
_cell_length_a 7.930
_cell_length_b 7.930
_cell_length_c 2.867
_cell_angle_alpha 90.00
_cell_angle_beta 90.00
_cell_angle_gamma 90.00
_space_group_name_H-M_alt 'P 4/m b m'
_space_group_IT_number 127
_space_group_name_Hall '-P 4 2ab'
loop_
_atom_site_label
_atom_site_fract_x
_atom_site_fract_y
_atom_site_fract_z
Ta1 0.151 0.349 0.000
Cd1 0.000 0.000 0.000
Ir1 0.139 0.639 0.500
# Relative energy among the computed polymorphs in eV per atom: 0.1637
# Crystal system: tetragonal



# 4
# TaCdIr2 | Alexandria | GGA-PBE | relaxed
data_TaCdIr2
_cell_length_a 3.895
_cell_length_b 3.895
_cell_length_c 8.636
_cell_angle_alpha 90.00
_cell_angle_beta 90.00
_cell_angle_gamma 90.00
_space_group_name_H-M_alt 'I -4 m 2'
_space_group_IT_number 119
_space_group_name_Hall 'I -4 -2'
loop_
_atom_site_label
_atom_site_fract_x
_atom_site_fract_y
_atom_site_fract_z
Ta1 0.000 0.000 0.000
Cd1 0.000 0.500 0.750
Ir1 0.000 0.000 0.500
Ir2 0.000 0.500 0.250
# Total energy in eV per atom: -7.75
# Crystal system: tetragonal



# 5
# TaCd2Ir | Alexandria | GGA-PBE | relaxed
data_TaCd2Ir
_cell_length_a 3.937
_cell_length_b 3.937
_cell_length_c 4.693
_cell_angle_alpha 90.00
_cell_angle_beta 90.00
_cell_angle_gamma 90.00
_space_group_name_H-M_alt 'P 4/m m m'
_space_group_IT_number 123
_space_group_name_Hall '-P 4 2'
loop_
_atom_site_label
_atom_site_fract_x
_atom_site_fract_y
_atom_site_fract_z
Ta1 0.000 0.000 0.000
Cd1 0.000 0.500 0.500
Ir1 0.500 0.500 0.000
# Relative energy among the computed polymorphs in eV per atom: 0.2949
# Crystal system: tetragonal



# 6
# TaCdIr2 | Alexandria | GGA-PBE | relaxed
data_TaCdIr2
_cell_length_a 5.986
_cell_length_b 7.392
_cell_length_c 2.988
_cell_angle_alpha 90.00
_cell_angle_beta 90.00
_cell_angle_gamma 90.00
_space_group_name_H-M_alt 'C m m m'
_space_group_IT_number 65
_space_group_name_Hall '-C 2 2'
loop_
_atom_site_label
_atom_site_fract_x
_atom_site_fract_y
_atom_site_fract_z
Ta1 0.000 0.000 0.000
Cd1 0.000 0.500 0.000
Ir1 0.250 0.250 0.500
# Total energy in eV per atom: -7.77
# Crystal system: orthorhombic



# 7
# Y2TaCdIr | Alexandria | GGA-PBE | relaxed
data_Y2TaCdIr
_cell_length_a 5.523
_cell_length_b 5.523
_cell_length_c 4.730
_cell_angle_alpha 90.00
_cell_angle_beta 90.00
_cell_angle_gamma 90.00
_space_group_name_H-M_alt 'P 4/m m m'
_space_group_IT_number 123
_space_group_name_Hall '-P 4 2'
loop_
_atom_site_label
_atom_site_fract_x
_atom_site_fract_y
_atom_site_fract_z
Y1 0.000 0.500 0.000
Ta1 0.000 0.000 0.000
Cd1 0.500 0.500 0.500
Ir1 0.000 0.000 0.500
# Total energy in eV per atom: -6.33
# Crystal system: tetragonal



# 8
# TaZnCd2Ir | Alexandria | GGA-PBE | relaxed
data_TaZnCd2Ir
_cell_length_a 4.664
_cell_length_b 4.664
_cell_length_c 4.653
_cell_angle_alpha 90.00
_cell_angle_beta 90.00
_cell_angle_gamma 90.00
_space_group_name_H-M_alt 'P 4/m m m'
_space_group_IT_number 123
_space_group_name_Hall '-P 4 2'
loop_
_atom_site_label
_atom_site_fract_x
_atom_site_fract_y
_atom_site_fract_z
Ta1 0.000 0.000 0.000
Zn1 0.500 0.500 0.500
Cd1 0.000 0.500 0.500
Ir1 0.500 0.500 0.000
# Total energy in eV per atom: -3.64
# Crystal system: tetragonal



# 9
# TbCdIr | Alexandria | GGA-PBE | relaxed
data_TbCdIr
_cell_length_a 6.626
_cell_length_b 6.626
_cell_length_c 6.626
_cell_angle_alpha 90.00
_cell_angle_beta 90.00
_cell_angle_gamma 90.00
_space_group_name_H-M_alt 'F -4 3 m'
_space_group_IT_number 216
_space_group_name_Hall 'F -4 2 3'
loop_
_atom_site_label
_atom_site_fract_x
_atom_site_fract_y
_atom_site_fract_z
Tb1 0.000 0.000 0.000
Cd1 0.000 0.000 0.500
Ir1 0.250 0.250 0.750
# Total energy in eV per atom: -5.22
# Crystal system: cubic



# 10
# Tb3CdIr | Alexandria | GGA-PBE | relaxed
data_Tb3CdIr
_cell_length_a 6.438
_cell_length_b 9.749
_cell_length_c 16.518
_cell_angle_alpha 90.00
_cell_angle_beta 90.00
_cell_angle_gamma 90.00
_space_group_name_H-M_alt 'F m m m'
_space_group_IT_number 69
_space_group_name_Hall '-F 2 2'
loop_
_atom_site_label
_atom_site_fract_x
_atom_site_fract_y
_atom_site_fract_z
Tb1 0.000 0.000 0.200
Tb2 0.000 0.188 0.389
Cd1 0.210 0.000 0.000
Ir1 0.250 0.250 0.250
# Relative energy among the computed polymorphs in eV per atom: 0.0000
# Crystal system: orthorhombic



# 11
# TbCdIr | Alexandria | GGA-PBE | relaxed
data_TbCdIr
_cell_length_a 4.124
_cell_length_b 4.124
_cell_length_c 7.622
_cell_angle_alpha 90.00
_cell_angle_beta 90.00
_cell_angle_gamma 90.00
_space_group_name_H-M_alt 'P 4/n m m'
_space_group_IT_number 129
loop_
_space_group_symop_operation_xyz
'x,y,z'
'-x,-y,-z'
'-y+1/2,x,z'
'y+1/2,-x,-z'
'-x+1/2,-y+1/2,z'
'x+1/2,y+1/2,-z'
'y,-x+1/2,z'
'-y,x+1/2,-z'
'x+1/2,-y,-z'
'-x+1/2,y,z'
'-y,-x,-z'
'y,x,z'
'-x,y+1/2,-z'
'x,-y+1/2,z'
'y+1/2,x+1/2,-z'
'-y+1/2,-x+1/2,z'
loop_
_atom_site_label
_atom_site_fract_x
_atom_site_fract_y
_atom_site_fract_z
Tb1 0.250 0.250 0.144
Cd1 0.250 0.750 0.500
Ir1 0.250 0.250 0.767
# Total energy in eV per atom: -5.32
# Crystal system: tetragonal



# 12
# Tb5CdIr4 | Alexandria | GGA-PBE | relaxed
data_Tb5CdIr4
_cell_length_a 3.500
_cell_length_b 3.500
_cell_length_c 17.698
_cell_angle_alpha 90.00
_cell_angle_beta 90.00
_cell_angle_gamma 90.00
_space_group_name_H-M_alt 'P 4/m m m'
_space_group_IT_number 123
_space_group_name_Hall '-P 4 2'
loop_
_atom_site_label
_atom_site_fract_x
_atom_site_fract_y
_atom_site_fract_z
Tb1 0.000 0.000 0.000
Tb2 0.000 0.000 0.190
Tb3 0.000 0.000 0.379
Cd1 0.500 0.500 0.500
Ir1 0.500 0.500 0.096
Ir2 0.500 0.500 0.289
# Total energy in eV per atom: -6.66
# Crystal system: tetragonal



# 13
# Tb2CdIr | Alexandria | GGA-PBE | relaxed
data_Tb2CdIr
_cell_length_a 4.0274
_cell_length_b 4.0274
_cell_length_c 23.5012
_cell_angle_alpha 90.00
_cell_angle_beta 90.00
_cell_angle_gamma 120.00
_space_group_name_H-M_alt 'R -3 m'
_space_group_IT_number 166
_space_group_name_Hall '-R 3 2"'
loop_
_atom_site_label
_atom_site_fract_x
_atom_site_fract_y
_atom_site_fract_z
Tb1 0.0000 0.0000 0.2312
Cd1 0.0000 0.0000 0.0000
Ir1 0.0000 0.0000 0.5000
# Total energy in eV per atom: -5.25
# Crystal system: trigonal



# 14
# Tb6CdIr | Alexandria | GGA-PBE | relaxed
data_Tb6CdIr
_cell_length_a 6.914
_cell_length_b 6.938
_cell_length_c 7.472
_cell_angle_alpha 90.26
_cell_angle_beta 117.25
_cell_angle_gamma 119.85
_space_group_name_H-M_alt 'P -1'
_space_group_IT_number 2
_space_group_name_Hall '-P 1'
loop_
_atom_site_label
_atom_site_fract_x
_atom_site_fract_y
_atom_site_fract_z
Tb1 0.038 0.080 0.254
Tb2 0.296 0.715 0.253
Tb3 0.324 0.541 0.747
Cd1 0.500 0.000 0.000
Ir1 0.500 0.500 0.500
# Total energy in eV per atom: -4.80
# Crystal system: triclinic